Below is a relaxed structure of Cs2Cd2Ni, with properties calculated at the GGA-PBE level.

Values from the calculation:
ΔE_f: 309 meV/atom
crystal system: tetragonal
SG: P4/mbm, No. 127
total magnetic moment: 0.000 μB per atom
total DFT energy (no corrections): -7.771 eV per formula unit

The structure in POSCAR format:
```
Cs2Cd2Ni
1.0
-5.8109 -2.5563 -3.9304
4.2501 -0.2288 -6.1346
1.6721 -5.9218 1.3794
Cs Ni Cd
4 2 4
Direct
0.8238 0.3238 0.5000 Cs
0.3238 0.1762 0.5000 Cs
0.1762 0.6762 0.5000 Cs
0.6762 0.8238 0.5000 Cs
0.0000 0.0000 0.0000 Ni
0.5000 0.5000 0.0000 Ni
0.3297 0.8297 0.0000 Cd
0.6703 0.1703 0.0000 Cd
0.8297 0.6703 0.0000 Cd
0.1703 0.3297 0.0000 Cd
```